Record 1
La4PmNd (PBE-GGA, optimized geometry); formation energy from the elements = 0.02 eV/atom; M_tot = 0.0 μB/cell; crystal system = orthorhombic; E_tot = -29.126 eV per cell; excess energy over the best structure of this formula in the dataset = 0 meV per atom
1.0
-1.107 2.483 -2.511
4.101 -1.266 -3.061
-10.238 -6.530 -1.942
La Pm Nd
4 1 1
Direct
0.500 0.331 0.830
0.500 0.669 0.170
0.000 0.332 0.332
0.000 0.668 0.668
0.500 0.000 0.500
0.000 0.000 0.000

---

Record 2
SrZn2Ir (PBE-GGA, optimized geometry); formation energy from the elements = 0.29 eV/atom; M_tot = 0.0 μB/cell; crystal system = monoclinic; E_tot = -11.944 eV per cell
1.0
5.128 0.001 0.002
-2.416 5.064 0.013
0.296 1.042 3.091
Ir Sr Zn
1 1 2
Direct
0.000 0.500 0.500
0.500 0.500 0.000
0.000 0.000 0.000
0.500 0.000 0.500

---

Record 3
LiTbCd6 (PBE-GGA, optimized geometry); formation energy from the elements = -0.21 eV/atom; M_tot = 0.0 μB/cell; crystal system = trigonal; E_tot = -13.726 eV per cell; excess energy over the best structure of this formula in the dataset = 0 meV per atom
1.0
-1.328 2.928 3.772
0.547 -1.572 4.668
7.373 3.669 3.003
Li Tb Cd
1 1 6
Direct
0.000 0.000 0.000
0.500 0.500 0.500
0.631 0.631 0.108
0.115 0.115 0.656
0.885 0.885 0.344
0.369 0.369 0.892
0.247 0.247 0.260
0.753 0.753 0.740

---

Record 4
Te3IrO (PBE-GGA, optimized geometry); M_tot = 0.0 μB/cell; crystal system = cubic; energy relative to the elements, uncorrected = 1.002 eV/atom; E_tot = -18.235 eV per cell; excess energy over the best structure of this formula in the dataset = 295 meV per atom
1.0
5.193 0.000 0.000
0.000 5.193 0.000
0.000 0.000 5.193
Ir Te O
1 3 1
Direct
0.000 0.000 0.000
0.000 0.500 0.000
0.000 0.000 0.500
0.500 0.000 0.000
0.500 0.500 0.500

---

Record 5
DyPa2TlO8 (PBE-GGA, optimized geometry); M_tot = 0.0 μB/cell; crystal system = tetragonal; energy relative to the elements, uncorrected = -3.019 eV/atom; E_tot = -101.848 eV per cell
1.0
-0.658 5.038 -1.925
-4.757 -1.456 -2.184
0.157 -0.364 6.660
Dy Pa Tl O
1 2 1 8
Direct
0.750 0.250 0.500
0.500 0.500 0.000
0.250 0.750 0.500
0.000 0.000 0.000
0.872 0.866 0.224
0.351 0.357 0.224
0.572 0.586 0.716
0.145 0.131 0.716
0.869 0.428 0.284
0.414 0.855 0.284
0.134 0.649 0.776
0.643 0.128 0.776

---

Record 6
V12Si6As (PBE-GGA, optimized geometry); M_tot = 0.0 μB/cell; crystal system = trigonal; energy relative to the elements, uncorrected = 0.055 eV/atom; E_tot = -145.575 eV per cell
1.0
6.715 -0.065 -0.078
-1.082 6.627 -0.078
-1.082 -1.261 6.507
V Si As
12 6 1
Direct
0.812 0.591 0.475
0.475 0.812 0.591
0.591 0.475 0.812
0.188 0.409 0.525
0.525 0.188 0.409
0.409 0.525 0.188
0.079 0.019 0.353
0.981 0.647 0.921
0.647 0.921 0.981
0.921 0.981 0.647
0.019 0.353 0.079
0.353 0.079 0.019
0.666 0.865 0.322
0.678 0.334 0.135
0.135 0.678 0.334
0.334 0.135 0.678
0.322 0.666 0.865
0.865 0.322 0.666
0.000 0.000 0.000